Density functional theory data (GGA+U) for a relaxed structure of MnInTe2F.

Calculated values
For the total energy, the calculation gives -0.3227 Ry/atom. The space-group type is P4/mmm (123).

Structure (POSCAR):
```
MnInTe2F
1.0
5.764 0.000 0.000
0.000 3.901 0.000
0.000 0.000 5.764
In F Te Mn
1 1 2 1
Direct
0.500 0.500 0.500
0.000 0.500 0.000
0.000 0.000 0.500
0.500 0.000 0.000
0.000 0.000 0.000
```